# 1
K2TlAsBr6 | Alexandria | GGA-PBEsol | relaxed; magnetic moment = 0.0 Bohr magnetons per cell; calculated total energy = -0.2278 Ry per atom; calculated volume = 354.53 Å³/cell; formation energy from raw total energies = -0.98 eV/atom
1.0
7.944 0.000 0.000
3.972 6.880 0.000
3.972 2.293 6.487
Br K As Tl
6 2 1 1
Direct
0.234 0.766 0.234
0.234 0.766 0.766
0.234 0.234 0.766
0.766 0.234 0.766
0.766 0.766 0.234
0.766 0.234 0.234
0.250 0.250 0.250
0.750 0.750 0.750
0.000 0.000 0.000
0.500 0.500 0.500

# 2
LaAs2Br | Alexandria | GGA-PBEsol | relaxed; magnetic moment = 0.0 Bohr magnetons per cell; calculated total energy = -0.3451 Ry per atom; calculated volume = 99.46 Å³/cell; formation energy from raw total energies = -0.34 eV/atom
1.0
5.293 0.000 0.000
2.647 4.584 0.000
2.647 1.528 4.099
As La Br
2 1 1
Direct
0.286 0.286 0.142
0.714 0.714 0.858
0.000 0.000 0.000
0.500 0.500 0.500

# 3
LaMgAsBr2 | Alexandria | GGA-PBEsol | relaxed; magnetic moment = 0.0 Bohr magnetons per cell; calculated total energy = -0.3051 Ry per atom; calculated volume = 130.50 Å³/cell; formation energy from raw total energies = -0.97 eV/atom
1.0
-1.072 -2.420 4.104
-2.629 -3.208 -2.578
4.451 -3.109 -0.670
La Br As Mg
1 2 1 1
Direct
0.500 0.500 0.500
0.000 0.500 0.000
0.500 0.000 0.000
0.000 0.000 0.500
0.000 0.000 0.000

# 4
LaMoAs2Br | Alexandria | GGA-PBEsol | relaxed; ΔE to the lowest computed polymorph = 6.669 eV/f.u.; magnetic moment = 3.8 Bohr magnetons per cell; calculated total energy = -0.3568 Ry per atom; calculated volume = 172.61 Å³/cell; formation energy from raw total energies = 0.98 eV/atom
1.0
-0.683 4.513 3.113
-5.538 -0.746 -0.132
0.312 -3.137 4.616
La As Br Mo
1 2 1 1
Direct
0.000 0.000 0.000
0.000 0.500 0.000
0.000 0.000 0.500
0.500 0.000 0.000
0.500 0.500 0.500

# 5
LaMoAs2Br | Alexandria | GGA-PBEsol | relaxed; ΔE to the lowest computed polymorph = 0.000 eV/f.u.; magnetic moment = 0.0 Bohr magnetons per cell; calculated total energy = -0.4549 Ry per atom; calculated volume = 118.86 Å³/cell; formation energy from raw total energies = -0.35 eV/atom
1.0
4.800 0.000 0.000
0.000 4.800 0.000
0.000 0.000 5.159
As Mo La Br
2 1 1 1
Direct
0.500 0.000 0.000
0.000 0.500 0.000
0.000 0.000 0.000
0.500 0.500 0.500
0.000 0.000 0.500

# 6
La3As2BrO7 | Alexandria | GGA-PBEsol | relaxed; magnetic moment = 0.0 Bohr magnetons per cell; calculated total energy = -0.5591 Ry per atom; calculated volume = 936.06 Å³/cell; formation energy from raw total energies = -2.62 eV/atom
1.0
-1.074 4.781 -2.628
-11.725 -4.457 -3.315
-4.957 4.901 10.943
Br O La As
4 28 12 8
Direct
0.500 0.854 0.854
0.000 0.646 0.354
0.500 0.146 0.146
0.000 0.354 0.646
0.000 0.918 0.707
0.738 0.220 0.408
0.750 0.500 0.000
0.000 0.707 0.918
0.262 0.408 0.220
0.500 0.207 0.582
0.250 0.000 0.500
0.500 0.793 0.418
0.000 0.293 0.082
0.738 0.408 0.220
0.738 0.780 0.592
0.500 0.418 0.793
0.500 0.582 0.207
0.762 0.908 0.280
0.750 0.000 0.500
0.762 0.720 0.092
0.762 0.280 0.908
0.000 0.082 0.293
0.262 0.220 0.408
0.250 0.500 0.000
0.238 0.280 0.908
0.238 0.720 0.092
0.762 0.092 0.720
0.238 0.092 0.720
0.738 0.592 0.780
0.262 0.592 0.780
0.238 0.908 0.280
0.262 0.780 0.592
0.500 0.363 0.047
0.000 0.137 0.547
0.000 0.453 0.863
0.000 0.863 0.453
0.000 0.738 0.738
0.000 0.547 0.137
0.500 0.953 0.637
0.500 0.637 0.953
0.500 0.762 0.238
0.500 0.238 0.762
0.500 0.047 0.363
0.000 0.262 0.262
0.500 0.289 0.473
0.000 0.973 0.211
0.500 0.473 0.289
0.000 0.789 0.027
0.500 0.711 0.527
0.000 0.211 0.973
0.000 0.027 0.789
0.500 0.527 0.711

# 7
LaAs2PBr | Alexandria | GGA-PBEsol | relaxed; magnetic moment = 0.2 Bohr magnetons per cell; calculated total energy = -0.2898 Ry per atom; calculated volume = 185.77 Å³/cell; formation energy from raw total energies = 0.70 eV/atom
1.0
5.589 0.000 0.000
0.000 5.765 0.000
0.000 0.000 5.765
As P La Br
2 1 1 1
Direct
0.000 0.000 0.500
0.000 0.500 0.000
0.500 0.500 0.500
0.000 0.000 0.000
0.500 0.000 0.000

# 8
LaAsPtBr2 | Alexandria | GGA-PBEsol | relaxed; ΔE to the lowest computed polymorph = 4.320 eV/f.u.; magnetic moment = 1.5 Bohr magnetons per cell; calculated total energy = -0.2859 Ry per atom; calculated volume = 184.32 Å³/cell; formation energy from raw total energies = 0.34 eV/atom
1.0
-0.026 5.488 -0.610
-3.607 -0.479 -4.153
-4.577 0.415 3.928
La Br Pt As
1 2 1 1
Direct
0.000 0.000 0.000
0.000 0.500 0.000
0.500 0.000 0.000
0.500 0.500 0.500
0.000 0.000 0.500